Pr2PuNpSb4 | Alexandria | PBE | optimized geometry; formation energy (no corrections) = -75.99 kJ/mol of atoms; calculated total energy = -7.45 eV/atom; total magnetization = 9.0 μB per formula unit
1.0
-4.040 -1.691 0.967
3.369 -6.306 3.043
-0.920 5.366 5.539
Pr Pu Np Sb
2 1 1 4
direct
0.500 0.000 0.500
0.000 0.500 0.500
0.000 0.000 0.000
0.500 0.500 0.000
0.500 0.248 0.239
0.500 0.752 0.761
0.000 0.255 0.761
0.000 0.745 0.239